A plane-wave DFT calculation with PBE was carried out for an optimized crystal structure of PuGaCo.

space group: F-43m
calculated total energy: -0.3031 Ha/atom
formation energy from the elements: -0.3 eV per formula unit

Cell: 4.356 4.356 4.356 Å, 60.00 60.00 60.00°
Fractional positions:
Pu: 0.000 0.000 0.000
Ga: 0.500 0.500 0.500
Co: 0.750 0.750 0.750